A plane-wave DFT calculation with PBE was carried out for a geometry-optimized Gd2ScCd structure.

```
Gd2ScCd
1.0
3.5945 0.0000 0.0000
0.0000 3.5945 0.0000
0.0000 0.0000 8.6396
Sc Gd Cd
1 2 1
direct
0.5000 0.5000 0.5000
0.0000 0.0000 0.7564
0.0000 0.0000 0.2436
0.5000 0.5000 0.0000
```

Output
Density of states at the Fermi level in states/eV per cell: 5.295
Volume in Å³/atom: 27.91
Offset from the most stable computed form in meV/atom: 0
Total magnetic moment in μB/f.u.: 15.31

=====

A plane-wave DFT calculation with PBE was carried out for a geometry-optimized GdSc2Cd structure.

```
GdSc2Cd
1.0
3.3963 0.0000 0.0000
0.0000 3.3963 0.0000
0.0000 0.0000 8.7686
Sc Gd Cd
2 1 1
direct
0.0000 0.0000 0.7783
0.0000 0.0000 0.2217
0.5000 0.5000 0.5000
0.5000 0.5000 0.0000
```

Output
Density of states at the Fermi level in states/eV per cell: 5.960
Volume in Å³/atom: 25.29
Offset from the most stable computed form in meV/atom: 0
Total magnetic moment in μB/f.u.: 7.31

=====

A plane-wave DFT calculation with PBE was carried out for a geometry-optimized GdSc2Cd structure.

```
GdSc2Cd
1.0
4.6405 0.0000 0.0000
0.0000 4.6490 0.0000
0.0000 0.0000 4.6490
Sc Gd Cd
2 1 1
direct
0.0000 0.0000 0.5000
0.0000 0.5000 0.0000
0.5000 0.5000 0.5000
0.5000 0.0000 0.0000
```

Output
Density of states at the Fermi level in states/eV per cell: 5.363
Volume in Å³/atom: 25.07
Offset from the most stable computed form in meV/atom: 9
Total magnetic moment in μB/f.u.: 8.21

=====

A plane-wave DFT calculation with PBE was carried out for a geometry-optimized GdScCd structure.

```
GdScCd
1.0
-3.4400 0.7169 -0.4651
-0.8641 -0.9324 4.9537
1.1938 4.7279 -1.5419
Sc Gd Cd
1 1 1
direct
0.8337 0.0000 0.0000
0.3334 0.3333 0.6667
0.8329 0.6667 0.3333
```

Output
Density of states at the Fermi level in states/eV per cell: 4.713
Volume in Å³/atom: 26.76
Offset from the most stable computed form in meV/atom: 103
Total magnetic moment in μB/f.u.: 7.85

=====

A plane-wave DFT calculation with PBE was carried out for a geometry-optimized Gd2ScCd structure.

```
Gd2ScCd
1.0
5.3736 0.0000 0.0000
2.6868 4.6537 0.0000
2.6868 1.5512 4.3875
Sc Gd Cd
1 2 1
direct
0.5000 0.5000 0.5000
0.2500 0.2500 0.2500
0.7500 0.7500 0.7500
0.0000 0.0000 0.0000
```

Output
Density of states at the Fermi level in states/eV per cell: 5.537
Volume in Å³/atom: 27.43
Offset from the most stable computed form in meV/atom: 72
Total magnetic moment in μB/f.u.: 15.04

=====

A plane-wave DFT calculation with PBE was carried out for a geometry-optimized Gd2ScCd structure.

```
Gd2ScCd
1.0
-0.4680 3.2813 0.7068
-3.1166 1.1680 0.6392
0.3253 -0.7924 12.0191
Sc Gd Cd
1 2 1
direct
0.5000 0.5000 0.5000
0.0911 0.0911 0.7268
0.9089 0.9089 0.2732
0.0000 0.0000 0.0000
```

Output
Density of states at the Fermi level in states/eV per cell: 4.719
Volume in Å³/atom: 29.57
Offset from the most stable computed form in meV/atom: 293
Total magnetic moment in μB/f.u.: 14.39

=====

A plane-wave DFT calculation with PBE was carried out for a geometry-optimized GdTmScCd structure.

```
GdTmScCd
1.0
-0.5652 -3.3001 4.1471
4.1694 -2.8242 1.7460
2.2540 1.1917 4.6806
Gd Sc Tm Cd
1 1 1 1
direct
0.5000 0.5000 0.5000
0.2500 0.2500 0.2500
0.0000 0.0000 0.0000
0.7500 0.7500 0.7500
```

Output
Density of states at the Fermi level in states/eV per cell: 5.154
Volume in Å³/atom: 26.77
Total magnetic moment in μB/f.u.: 7.68
Total energy in eV per cell: -26.0

=====

A plane-wave DFT calculation with PBE was carried out for a geometry-optimized Gd2CdSe4 structure.

```
Gd2CdSe4
1.0
4.4956 1.5690 6.5666
-5.9052 5.3201 -1.6182
-3.6535 -7.1082 1.3849
Gd Cd Se
4 2 8
direct
0.1100 0.6250 0.9850
0.8750 0.8900 0.5150
0.6400 0.1250 0.0150
0.3750 0.3600 0.4850
0.5000 0.5000 0.0000
0.2500 0.7500 0.5000
0.6620 0.3562 0.7918
0.1062 0.9120 0.2918
0.6438 0.4356 0.3058
0.5644 0.8702 0.2082
0.6202 0.8144 0.7082
0.0880 0.3798 0.1942
0.1856 0.8938 0.8058
0.1298 0.3380 0.6942
```

Output
Volume in Å³/atom: 29.06
Total magnetic moment in μB/f.u.: 14.00
Energy relative to the elements, uncorrected in eV per atom: -1.48

=====

A plane-wave DFT calculation with PBE was carried out for a geometry-optimized GdCdSe2 structure.

```
GdCdSe2
1.0
4.1949 0.0000 0.0000
2.0975 3.6329 0.0000
2.0975 1.2110 8.5712
Gd Se Cd
1 2 1
direct
0.5000 0.5000 0.5000
0.1050 0.1050 0.6851
0.8950 0.8950 0.3149
0.0000 0.0000 0.0000
```

Output
Density of states at the Fermi level in states/eV per cell: 2.412
Volume in Å³/atom: 32.66
Total magnetic moment in μB/f.u.: 6.95
Energy relative to the elements, uncorrected in eV per atom: -1.10

=====

A plane-wave DFT calculation with PBE was carried out for a geometry-optimized GdCdSi2 structure.

```
GdCdSi2
1.0
-0.6252 2.5786 3.0804
-1.2758 -3.3767 2.5677
4.1870 -0.5718 1.3284
Si Gd Cd
2 1 1
direct
0.0000 0.0000 0.5000
0.0000 0.5000 0.0000
0.5000 0.0000 0.0000
0.5000 0.5000 0.5000
```

Output
Density of states at the Fermi level in states/eV per cell: 1.560
Volume in Å³/atom: 19.94
Total magnetic moment in μB/f.u.: 6.87
Energy relative to the elements, uncorrected in eV per atom: -0.24

=====

A plane-wave DFT calculation with PBE was carried out for a geometry-optimized GdCdSi structure.

```
GdCdSi
1.0
4.0851 0.0000 0.0000
0.0000 4.3924 0.0000
0.0000 -2.1962 3.8039
Si Gd Cd
1 1 1
direct
0.1662 0.0000 0.0000
0.6668 0.3333 0.6667
0.1670 0.6667 0.3333
```

Output
Density of states at the Fermi level in states/eV per cell: 2.022
Volume in Å³/atom: 22.75
Total magnetic moment in μB/f.u.: 7.20
Energy relative to the elements, uncorrected in eV per atom: -0.39

=====

A plane-wave DFT calculation with PBE was carried out for a geometry-optimized Gd2CdSi structure.

```
Gd2CdSi
1.0
-2.3037 -0.4744 2.8961
0.3770 -3.6991 -0.3060
5.5123 0.1964 4.4169
Si Gd Cd
1 2 1
direct
0.5000 0.5000 0.0000
0.0000 0.0000 0.7778
0.0000 0.0000 0.2222
0.5000 0.5000 0.5000
```

Output
Density of states at the Fermi level in states/eV per cell: 4.148
Volume in Å³/atom: 24.59
Total magnetic moment in μB/f.u.: 14.45
Energy relative to the elements, uncorrected in eV per atom: -0.44

=====

A plane-wave DFT calculation with PBE was carried out for a geometry-optimized Gd2CdSi structure.

```
Gd2CdSi
1.0
4.1660 0.0000 0.0000
2.0830 3.6078 0.0000
2.0830 1.2026 7.6672
Si Gd Cd
1 2 1
direct
0.0000 0.0000 0.0000
0.2655 0.2655 0.2036
0.7345 0.7345 0.7964
0.5000 0.5000 0.5000
```

Output
Density of states at the Fermi level in states/eV per cell: 2.128
Volume in Å³/atom: 28.81
Total magnetic moment in μB/f.u.: 15.09
Energy relative to the elements, uncorrected in eV per atom: -0.36

=====

A plane-wave DFT calculation with PBE was carried out for a geometry-optimized GdCd2Si structure.

```
GdCd2Si
1.0
4.8790 0.0000 0.0000
0.0000 4.2627 0.0000
0.0000 0.0000 4.2627
Si Gd Cd
1 1 2
direct
0.5000 0.5000 0.5000
0.5000 0.0000 0.0000
0.0000 0.0000 0.5000
0.0000 0.5000 0.0000
```

Output
Density of states at the Fermi level in states/eV per cell: 1.476
Volume in Å³/atom: 22.16
Total magnetic moment in μB/f.u.: 6.98
Energy relative to the elements, uncorrected in eV per atom: -0.29

=====

A plane-wave DFT calculation with PBE was carried out for a geometry-optimized GdYCdSi structure.

```
GdYCdSi
1.0
5.1340 0.0000 0.0000
2.5670 4.4461 0.0000
2.5670 1.4820 4.1919
Y Si Gd Cd
1 1 1 1
direct
0.5000 0.5000 0.5000
0.7500 0.7500 0.7500
0.0000 0.0000 0.0000
0.2500 0.2500 0.2500
```

Output
Density of states at the Fermi level in states/eV per cell: 3.162
Volume in Å³/atom: 23.92
Total magnetic moment in μB/f.u.: 7.29
Energy relative to the elements, uncorrected in eV per atom: -0.41

=====

A plane-wave DFT calculation with PBE was carried out for a geometry-optimized Sm2GdCd structure.

```
Sm2GdCd
1.0
3.8384 0.0000 0.0000
0.0000 5.5697 0.0000
0.0000 0.0000 5.5697
Gd Sm Cd
1 2 1
direct
0.5000 0.5000 0.5000
0.0000 0.0000 0.5000
0.0000 0.5000 0.0000
0.5000 0.0000 0.0000
```

Output
Density of states at the Fermi level in states/eV per cell: 4.681
Volume in Å³/atom: 29.77
Offset from the most stable computed form in meV/atom: 53
Total magnetic moment in μB/f.u.: 7.13

=====

A plane-wave DFT calculation with PBE was carried out for a geometry-optimized Sm2GdCd structure.

```
Sm2GdCd
1.0
3.6125 0.0000 0.0000
1.8063 3.1285 0.0000
1.8063 1.0428 11.0300
Gd Sm Cd
1 2 1
direct
0.5000 0.5000 0.5000
0.2553 0.2553 0.2340
0.7447 0.7447 0.7660
0.0000 0.0000 0.0000
```

Output
Density of states at the Fermi level in states/eV per cell: 4.927
Volume in Å³/atom: 31.16
Offset from the most stable computed form in meV/atom: 80
Total magnetic moment in μB/f.u.: 7.14

=====

A plane-wave DFT calculation with PBE was carried out for a geometry-optimized Sm2GdCd structure.

```
Sm2GdCd
1.0
5.5196 0.0000 0.0000
2.7598 4.7801 0.0000
2.7598 1.5934 4.5067
Gd Sm Cd
1 2 1
direct
0.0000 0.0000 0.0000
0.2500 0.2500 0.2500
0.7500 0.7500 0.7500
0.5000 0.5000 0.5000
```

Output
Density of states at the Fermi level in states/eV per cell: 6.217
Volume in Å³/atom: 29.73
Offset from the most stable computed form in meV/atom: 96
Total magnetic moment in μB/f.u.: 7.68

=====

A plane-wave DFT calculation with PBE was carried out for a geometry-optimized Sm2GdCd structure.

```
Sm2GdCd
1.0
-0.8307 1.3368 3.3190
-2.0761 -2.9551 0.6707
7.1747 -4.2449 3.5056
Gd Sm Cd
1 2 1
direct
0.5000 0.5000 0.5000
0.0000 0.0000 0.7736
0.0000 0.0000 0.2264
0.5000 0.5000 0.0000
```

Output
Density of states at the Fermi level in states/eV per cell: 5.593
Volume in Å³/atom: 30.51
Offset from the most stable computed form in meV/atom: 0
Total magnetic moment in μB/f.u.: 7.22

=====

A plane-wave DFT calculation with PBE was carried out for a geometry-optimized SmGdCd2 structure.

```
SmGdCd2
1.0
3.8263 0.0000 0.0000
0.0000 5.3421 0.0000
0.0000 0.0000 5.3421
Gd Sm Cd
1 1 2
direct
0.5000 0.0000 0.0000
0.5000 0.5000 0.5000
0.0000 0.0000 0.5000
0.0000 0.5000 0.0000
```

Output
Density of states at the Fermi level in states/eV per cell: 5.274
Volume in Å³/atom: 27.30
Total magnetic moment in μB/f.u.: 8.08
Total energy in eV per cell: -22.0

=====

A plane-wave DFT calculation with PBE was carried out for a geometry-optimized SmGdTlCd structure.

```
SmGdTlCd
1.0
5.4027 0.0000 0.0000
2.7013 4.6788 0.0000
2.7013 1.5596 4.4112
Tl Gd Sm Cd
1 1 1 1
direct
0.7500 0.7500 0.7500
0.5000 0.5000 0.5000
0.0000 0.0000 0.0000
0.2500 0.2500 0.2500
```

Output
Density of states at the Fermi level in states/eV per cell: 3.667
Volume in Å³/atom: 27.88
Total magnetic moment in μB/f.u.: 8.04
Total energy in eV per cell: -23.6

=====

A plane-wave DFT calculation with PBE was carried out for a geometry-optimized SmGdYCd structure.

```
SmGdYCd
1.0
-5.1729 1.8368 0.1508
-3.4308 -1.7738 3.9036
-1.5909 3.3991 4.0087
Y Gd Sm Cd
1 1 1 1
direct
0.7500 0.7500 0.7500
0.0000 0.0000 0.0000
0.2500 0.2500 0.2500
0.5000 0.5000 0.5000
```

Output
Density of states at the Fermi level in states/eV per cell: 6.573
Volume in Å³/atom: 29.27
Total magnetic moment in μB/f.u.: 7.71
Total energy in eV per cell: -26.3

=====

A plane-wave DFT calculation with PBE was carried out for a geometry-optimized GdCd4Sn structure.

```
GdCd4Sn
1.0
5.9568 0.0000 0.0000
2.9784 5.1587 0.0000
2.9784 1.7196 4.8637
Gd Sn Cd
1 1 4
direct
0.2500 0.2500 0.2500
0.0000 0.0000 0.0000
0.6250 0.6250 0.1251
0.6250 0.1251 0.6250
0.6250 0.6250 0.6250
0.1251 0.6250 0.6250
```

Output
Density of states at the Fermi level in states/eV per cell: 5.295
Volume in Å³/atom: 24.91
Total magnetic moment in μB/f.u.: 7.05
Total energy in eV per cell: -22.5

=====

A plane-wave DFT calculation with PBE was carried out for a geometry-optimized SrGdCdSn structure.

```
SrGdCdSn
1.0
5.5264 0.0000 0.0000
2.7632 4.7860 0.0000
2.7632 1.5953 4.5123
Sr Gd Sn Cd
1 1 1 1
direct
0.5000 0.5000 0.5000
0.0000 0.0000 0.0000
0.2500 0.2500 0.2500
0.7500 0.7500 0.7500
```

Output
Density of states at the Fermi level in states/eV per cell: 5.847
Volume in Å³/atom: 29.84
Total magnetic moment in μB/f.u.: 7.35
Total energy in eV per cell: -22.6

=====

A plane-wave DFT calculation with PBE was carried out for a geometry-optimized TbGdCdSn structure.

```
TbGdCdSn
1.0
-1.3092 3.8138 3.4749
-4.8337 2.2218 -0.1827
-3.5385 -1.0055 3.8473
Gd Tb Sn Cd
1 1 1 1
direct
0.7500 0.7500 0.7500
0.2500 0.2500 0.2500
0.0000 0.0000 0.0000
0.5000 0.5000 0.5000
```

Output
Density of states at the Fermi level in states/eV per cell: 3.698
Volume in Å³/atom: 26.66
Total magnetic moment in μB/f.u.: 7.44
Total energy in eV per cell: -25.7

=====

A plane-wave DFT calculation with PBE was carried out for a geometry-optimized GdThCdSn structure.

```
GdThCdSn
1.0
5.4118 0.0000 0.0000
2.7059 4.6868 0.0000
2.7059 1.5623 4.4188
Gd Sn Th Cd
1 1 1 1
direct
0.0000 0.0000 0.0000
0.2500 0.2500 0.2500
0.5000 0.5000 0.5000
0.7500 0.7500 0.7500
```

Output
Density of states at the Fermi level in states/eV per cell: 4.515
Volume in Å³/atom: 28.02
Total magnetic moment in μB/f.u.: 7.31
Total energy in eV per cell: -27.9

=====

A plane-wave DFT calculation with PBE was carried out for a geometry-optimized GdTlCdSn structure.

```
GdTlCdSn
1.0
5.3283 0.0000 0.0000
2.6642 4.6145 0.0000
2.6642 1.5382 4.3505
Tl Gd Sn Cd
1 1 1 1
direct
0.5000 0.5000 0.5000
0.2500 0.2500 0.2500
0.0000 0.0000 0.0000
0.7500 0.7500 0.7500
```

Output
Density of states at the Fermi level in states/eV per cell: 2.329
Volume in Å³/atom: 26.74
Total magnetic moment in μB/f.u.: 7.12
Total energy in eV per cell: -22.2

=====

A plane-wave DFT calculation with PBE was carried out for a geometry-optimized GdTmCdSn structure.

```
GdTmCdSn
1.0
-2.2145 -4.7909 0.2928
-0.3618 -2.4640 4.6626
-4.7143 -0.5956 2.3158
Gd Tm Sn Cd
1 1 1 1
direct
0.5000 0.5000 0.5000
0.0000 0.0000 0.0000
0.2500 0.2500 0.2500
0.7500 0.7500 0.7500
```

Output
Density of states at the Fermi level in states/eV per cell: 3.085
Volume in Å³/atom: 26.11
Total magnetic moment in μB/f.u.: 7.53
Total energy in eV per cell: -25.4

=====

A plane-wave DFT calculation with PBE was carried out for a geometry-optimized GdYCdSn structure.

```
GdYCdSn
1.0
5.3187 0.0000 0.0000
2.6593 4.6061 0.0000
2.6593 1.5354 4.3427
Y Gd Sn Cd
1 1 1 1
direct
0.7500 0.7500 0.7500
0.2500 0.2500 0.2500
0.5000 0.5000 0.5000
0.0000 0.0000 0.0000
```

Output
Density of states at the Fermi level in states/eV per cell: 3.377
Volume in Å³/atom: 26.60
Total magnetic moment in μB/f.u.: 7.45
Total energy in eV per cell: -27.6

=====

A plane-wave DFT calculation with PBE was carried out for a geometry-optimized GdZnCdSn structure.

```
GdZnCdSn
1.0
5.1141 0.0000 0.0000
2.5570 4.4289 0.0000
2.5570 1.4763 4.1756
Zn Gd Sn Cd
1 1 1 1
direct
0.5000 0.5000 0.5000
0.2500 0.2500 0.2500
0.0000 0.0000 0.0000
0.7500 0.7500 0.7500
```

Output
Density of states at the Fermi level in states/eV per cell: 3.645
Volume in Å³/atom: 23.64
Total magnetic moment in μB/f.u.: 6.83
Total energy in eV per cell: -21.2